{"formula": "K8HgSb2", "functional": "PBE", "state": "optimized geometry", "lattice_angstrom": [[5.894, 0.000, 0.000], [0.000, 8.765, -0.091], [-2.947, -3.866, 9.814]], "species": ["K", "K", "K", "K", "K", "K", "K", "K", "Sb", "Sb", "Hg"], "fractional_positions": [[0.674, 0.942, 0.349], [0.326, 0.058, 0.651], [0.025, 0.762, 0.050], [0.607, 0.454, 0.213], [0.975, 0.238, 0.950], [0.206, 0.305, 0.412], [0.794, 0.695, 0.588], [0.393, 0.546, 0.787], [0.822, 0.318, 0.645], [0.178, 0.682, 0.355], [0.500, 0.000, 0.000]], "space_group": "C2/m (12)", "dos_at_fermi_per_ev_cell": 7.004, "raw_formation_energy_ev_per_atom": -0.293, "energy_ev_per_cell": -20.6}



{"formula": "Ac2Nd3Ho8", "functional": "PBE", "state": "optimized geometry", "lattice_angstrom": [[-3.709, -1.980, -5.128], [2.656, -3.801, -4.741], [-3.606, -11.977, 2.944]], "species": ["Nd", "Nd", "Nd", "Ho", "Ho", "Ho", "Ho", "Ho", "Ho", "Ho", "Ho", "Ac", "Ac"], "fractional_positions": [[0.000, 0.000, 0.000], [0.813, 0.813, 0.561], [0.187, 0.187, 0.439], [0.778, 0.279, 0.663], [0.279, 0.778, 0.663], [0.721, 0.721, 0.337], [0.222, 0.721, 0.337], [0.729, 0.729, 0.813], [0.721, 0.222, 0.337], [0.279, 0.279, 0.663], [0.271, 0.271, 0.187], [0.638, 0.638, 0.086], [0.362, 0.362, 0.914]], "ef_ev_per_atom": 0.27, "space_group": "R-3m (166)", "dos_at_fermi_per_ev_cell": 21.882, "energy_ev_per_cell": -55.6}



{"formula": "Y2Tm3Sc", "functional": "PBE", "state": "optimized geometry", "lattice_angstrom": [[6.370, 0.000, 0.000], [0.000, 6.715, 0.469], [-3.185, -1.108, 8.449]], "species": ["Tm", "Tm", "Tm", "Tm", "Tm", "Tm", "Sc", "Sc", "Y", "Y", "Y", "Y"], "fractional_positions": [[0.177, 0.516, 0.284], [0.684, 0.250, 0.000], [0.823, 0.484, 0.716], [0.107, 0.016, 0.284], [0.316, 0.750, 0.000], [0.893, 0.984, 0.716], [0.811, 0.750, 0.000], [0.189, 0.250, 0.000], [0.377, 0.808, 0.633], [0.623, 0.192, 0.367], [0.256, 0.308, 0.633], [0.744, 0.692, 0.367]], "ef_ev_per_atom": 0.12, "space_group": "C2/c (15)", "dos_at_fermi_per_ev_cell": 15.638, "energy_ev_per_cell": -63.9}



Number 2 is which compound? Ac2Nd3Ho8